Record 1
Computed, not measured: an optimized crystal structure of KBaCdIn at the GGA-PBE level of DFT.

Calculated values
As for the crystal system: cubic.

Cell and atoms, written as extended XYZ:
```
4
Lattice="0.0000 4.2325 4.2325 4.2325 0.0000 4.2325 4.2325 4.2325 0.0000" Properties=species:S:1:pos:R:3 pbc="T T T"
K 0.0000 0.0000 0.0000
Ba 4.2325 4.2325 4.2325
Cd 6.3488 6.3488 6.3488
In 2.1163 2.1163 2.1163
```

Record 2
Computed, not measured: an optimized crystal structure of TaCu3 at the GGA-PBE level of DFT.

Calculated values
As for the crystal system: monoclinic.

Cell and atoms, written as extended XYZ:
```
4
Lattice="2.5825 0.0000 0.0000 0.0000 4.2348 0.0000 -0.7417 0.0000 5.0391" Properties=species:S:1:pos:R:3 pbc="T T T"
Ta 0.0000 0.0000 0.0000
Cu 0.3967 2.1174 3.7417
Cu 0.9204 0.0000 2.5195
Cu 1.4442 2.1174 1.2974
```

Record 3
Computed, not measured: an optimized crystal structure of MoP3C at the GGA-PBE level of DFT.

Calculated values
For the distance to the lowest polymorph of the same formula, the calculation gives 715 meV/atom. As for the crystal system: cubic.

Cell and atoms, written as extended XYZ:
```
5
Lattice="4.6585 0.0000 0.0000 0.0000 4.6585 0.0000 0.0000 0.0000 4.6585" Properties=species:S:1:pos:R:3 pbc="T T T"
Mo 0.0000 0.0000 0.0000
P 0.0000 0.0000 2.3293
P 0.0000 2.3293 0.0000
P 2.3293 0.0000 0.0000
C 2.3293 2.3293 2.3293
```

Record 4
Computed, not measured: an optimized crystal structure of Be17VIr at the GGA-PBE level of DFT.

Calculated values
As for the crystal system: trigonal.

Cell and atoms, written as extended XYZ:
```
19
Lattice="3.6123 2.0856 3.5282 -3.6123 2.0856 3.5282 0.0000 -4.1711 3.5282" Properties=species:S:1:pos:R:3 pbc="T T T"
Be 0.0000 0.0000 0.5582
Be -1.1087 -2.2868 5.1694
Be -2.5347 0.1832 5.1694
Be 0.0000 -2.0120 3.4425
Be -1.7425 1.0060 3.4425
Be 0.0000 0.0000 2.7041
Be -1.8173 -1.0492 6.7517
Be 1.1087 -2.2868 5.1694
Be -1.4261 2.1035 5.1694
Be 0.0000 -2.0005 7.0564
Be -1.7325 1.0003 7.0564
Be 1.7425 1.0060 3.4426
Be 1.8173 -1.0492 6.7517
Be 0.0000 2.0984 6.7517
Be 2.5347 0.1832 5.1694
Be 1.4261 2.1035 5.1694
Be 1.7325 1.0003 7.0564
V 0.0000 0.0000 5.2243
Ir 0.0000 0.0000 8.6710
```

These records have volume values of 37.911 13.778 20.220 8.394 Å³/atom, in the order they appear.
These records have calculated formation energy values of -139 154 1736 -175 meV/atom, in the order they appear.